1.
{
  "formula": "Al2MoPt",
  "functional": "PBE",
  "state": "relaxed",
  "lattice_angstrom": [[2.764, 0.000, 0.000], [0.000, 2.764, 0.000], [0.000, 0.000, 8.142]],
  "species": ["Al", "Al", "Mo", "Pt"],
  "frac_coords": [[0.000, 0.000, 0.000], [0.500, 0.500, 0.276], [0.000, 0.000, 0.521], [0.500, 0.500, 0.773]],
  "vol_a3_per_cell": 62.2,
  "dos_ef_per_ev_atom": 0.773,
  "e_above_lowest_polymorph_mev_per_atom": 275,
  "dft_energy_ev_per_atom": -6.40,
  "e_form_mev_per_atom": -316
}

---

2.
{
  "formula": "Al2MoPt",
  "functional": "PBE",
  "state": "relaxed",
  "lattice_angstrom": [[4.355, 0.000, 0.000], [0.000, 1.381, 5.022], [0.000, -1.381, 5.022]],
  "species": ["Al", "Al", "Mo", "Pt"],
  "frac_coords": [[0.000, 0.000, 0.000], [0.500, 0.160, 0.160], [0.000, 0.739, 0.739], [0.500, 0.417, 0.417]],
  "vol_a3_per_cell": 60.4,
  "dos_ef_per_ev_atom": 0.497,
  "e_above_lowest_polymorph_mev_per_atom": 154,
  "dft_energy_ev_per_atom": -6.53,
  "e_form_mev_per_atom": -437
}

---

3.
{
  "formula": "Al2MoPt",
  "functional": "PBE",
  "state": "relaxed",
  "lattice_angstrom": [[3.239, 0.000, 0.000], [0.000, 3.239, 0.000], [0.000, 0.000, 5.811]],
  "species": ["Al", "Al", "Mo", "Pt"],
  "frac_coords": [[0.000, 0.000, 0.000], [0.500, 0.500, 0.261], [0.000, 0.000, 0.493], [0.500, 0.500, 0.789]],
  "vol_a3_per_cell": 61.0,
  "dos_ef_per_ev_atom": 0.706,
  "e_above_lowest_polymorph_mev_per_atom": 215,
  "dft_energy_ev_per_atom": -6.46,
  "e_form_mev_per_atom": -375
}

---

4.
{
  "formula": "AlMo2Pt",
  "functional": "PBE",
  "state": "relaxed",
  "lattice_angstrom": [[-3.599, 3.599, 2.605], [3.599, -3.599, 2.605], [3.599, 3.599, -2.605]],
  "species": ["Al", "Al", "Mo", "Mo", "Mo", "Mo", "Pt", "Pt"],
  "frac_coords": [[0.000, 0.000, 0.000], [0.750, 0.250, 0.500], [0.131, 0.125, 0.506], [0.375, 0.869, 0.994], [0.619, 0.625, 0.494], [0.875, 0.381, 0.006], [0.250, 0.750, 0.500], [0.500, 0.500, 0.000]],
  "vol_a3_per_cell": 135.0,
  "dos_ef_per_ev_atom": 1.012,
  "dft_energy_ev_per_atom": -7.54,
  "e_form_mev_per_atom": 324
}

---

Question: Which formula does entry 3 have?
Answer: Al2MoPt

---

What did the third record say?
{
  "formula": "Al2MoPt",
  "functional": "PBE",
  "state": "relaxed",
  "lattice_angstrom": [[3.239, 0.000, 0.000], [0.000, 3.239, 0.000], [0.000, 0.000, 5.811]],
  "species": ["Al", "Al", "Mo", "Pt"],
  "frac_coords": [[0.000, 0.000, 0.000], [0.500, 0.500, 0.261], [0.000, 0.000, 0.493], [0.500, 0.500, 0.789]],
  "vol_a3_per_cell": 61.0,
  "dos_ef_per_ev_atom": 0.706,
  "e_above_lowest_polymorph_mev_per_atom": 215,
  "dft_energy_ev_per_atom": -6.46,
  "e_form_mev_per_atom": -375
}